Material: YNi3Sn2
Method: DFT, PBE
State: optimized geometry

```
18
Lattice="4.4576 7.7071 3.4416 -9.5064 -0.0282 -0.8610 -0.3365 -1.4864 3.7644" Properties=species:S:1:pos:R:3 pbc="T T T"
Ni -4.9397 4.8397 1.4693
Ni 1.8809 6.2797 2.6477
Ni 2.2288 3.8535 1.7208
Ni -6.9297 1.3991 -0.0671
Ni -0.1091 2.8391 1.1113
Ni -4.7532 -0.0141 -0.4305
Ni -2.3629 6.2671 2.2633
Ni -2.5244 3.8394 1.2903
Ni -2.6858 1.4117 0.3173
Sn 1.2746 1.7514 2.9962
Sn -6.5977 -0.7623 1.2999
Sn -3.5829 4.4502 3.6275
Sn -1.8024 1.7423 2.7175
Sn -3.2453 -0.7523 1.6035
Sn 2.8465 4.4693 4.2098
Y -0.3653 4.3855 3.8896
Y -5.0200 1.8070 2.4554
Y 0.0000 0.0000 0.0000
```

As for the space-group type: P6/mmm (191). As for the final energy: -5.651 eV/atom.

---

Material: Y8Ni2Sn
Method: DFT, PBE
State: optimized geometry

```
11
Lattice="5.2527 0.1451 -0.8217 -1.7299 7.1629 -3.0635 0.1982 -0.1197 7.9769" Properties=species:S:1:pos:R:3 pbc="T T T"
Sn -0.0048 0.0227 0.0158
Ni 1.4796 5.0305 -0.0868
Ni 2.2295 2.1980 4.2072
Y 1.2363 4.7604 4.9992
Y 0.4325 2.8054 1.7750
Y 2.9704 0.6038 1.9532
Y 2.4762 2.4705 -0.8766
Y 3.2804 4.4270 2.3473
Y 3.9950 5.5259 -1.1332
Y 0.7418 6.6281 2.1677
Y 4.9675 1.8527 4.4352
```

As for the space-group type: C2/m (12). As for the final energy: -6.343 eV/atom.

---

Material: Y2Ni3Sn5
Method: DFT, PBE
State: optimized geometry

```
20
Lattice="4.2842 0.0000 -0.7298 0.0000 7.2105 0.0000 0.0547 0.0000 13.2611" Properties=species:S:1:pos:R:3 pbc="T T T"
Sn 0.2111 4.2382 1.2395
Sn 2.5518 6.3206 2.0402
Sn 1.3073 6.7753 7.6742
Sn 3.0316 3.1700 4.8570
Sn 3.8104 5.3992 9.4287
Sn 1.2600 3.7259 7.3969
Sn 3.0789 0.1206 5.1344
Sn 0.5285 1.7940 3.1026
Sn 1.7871 2.7153 10.4910
Sn 4.1278 0.6329 11.2918
Y 3.5829 1.7362 8.0934
Y 0.7560 5.3415 4.4379
Y 2.2547 1.8159 0.2964
Y 2.0842 5.4212 12.2349
Ni 0.9767 1.5903 5.7339
Ni 4.1238 3.4080 11.2685
Ni 1.7330 0.0683 10.1734
Ni 2.6059 3.6735 2.3578
Ni 0.2151 7.0132 1.2627
Ni 3.3621 5.1955 6.7973
```

As for the space-group type: Cmc2_1 (36). As for the final energy: -5.519 eV/atom.

---

Material: YNiSn
Method: DFT, PBE
State: optimized geometry

```
12
Lattice="4.4718 0.0000 0.0000 0.0000 7.1645 0.0000 0.0000 0.0000 7.7068" Properties=species:S:1:pos:R:3 pbc="T T T"
Ni 1.1179 5.7191 0.6703
Ni 1.1179 2.1369 3.1831
Ni 3.3538 1.4453 7.0365
Ni 3.3538 5.0276 4.5237
Y 3.3538 7.0700 2.3092
Y 1.1179 0.0945 5.3976
Y 1.1179 3.6767 6.1626
Y 3.3538 3.4877 1.5442
Sn 1.1179 4.9265 3.1925
Sn 1.1179 1.3442 0.6609
Sn 3.3538 2.2380 4.5143
Sn 3.3538 5.8202 7.0459
```

As for the space-group type: Pnma (62). As for the final energy: -6.104 eV/atom.

---

Material: Y2NiSn3
Method: DFT, PBE
State: optimized geometry

```
6
Lattice="4.1904 0.0000 1.7549 1.7812 5.4881 1.6272 -0.1075 0.1165 6.1370" Properties=species:S:1:pos:R:3 pbc="T T T"
Ni 1.3859 2.1528 2.5710
Y 2.5691 1.0554 5.6261
Y 3.2248 4.5933 4.0604
Sn 4.6984 3.2813 6.4221
Sn 1.9147 4.3240 7.1886
Sn 3.7992 1.4070 2.6891
```

As for the space-group type: Cm (8). As for the final energy: -5.698 eV/atom.

---

Material: YNi2Sn4
Method: DFT, PBE
State: optimized geometry

```
28
Lattice="-1.4360 -3.6826 1.7193 -0.8567 -2.7615 -6.6302 17.5868 -6.6297 0.4890" Properties=species:S:1:pos:R:3 pbc="T T T"
Ni 15.6052 -9.8476 0.0461
Ni 11.0626 -8.7987 -1.5012
Ni 4.2315 -4.2750 -2.9207
Ni 6.8263 -6.4864 -0.0868
Ni 12.6420 -8.8243 -5.6401
Ni 2.6522 -4.2494 1.2182
Ni -0.3111 -3.2261 -4.4680
Ni 8.4679 -6.5874 -4.3351
Sn 3.5652 -6.7573 -3.3908
Sn 11.7289 -6.3164 -1.0311
Sn 2.9732 -2.8800 -0.9837
Sn 6.8216 -5.1578 -2.6482
Sn 2.0928 -4.3304 -4.8256
Sn 8.8245 -4.8009 -0.2110
Sn 16.0367 -7.1132 0.8602
Sn 10.9818 -7.3369 -3.8408
Sn 6.4696 -8.2728 -4.2109
Sn -0.1648 -2.1176 -1.9718
Sn -0.7426 -5.9605 -5.2821
Sn 15.4590 -10.9561 -2.4501
Sn 13.2014 -8.7433 0.4037
Sn 4.3123 -5.7368 -0.5811
Sn 12.3209 -10.1937 -3.4382
Sn 8.4725 -7.9159 -1.7737
Y 5.1065 -6.0650 -6.0237
Y 0.9661 -5.0739 -1.9560
Y 14.3280 -7.9998 -2.4659
Y 10.1876 -7.0087 1.6018
```

As for the space-group type: Pnma (62). As for the final energy: -5.215 eV/atom.

---

Material: YNi2Sn
Method: DFT, PBE
State: optimized geometry

```
8
Lattice="-3.1558 -1.8072 -2.6412 3.2000 -1.8336 -2.5688 -0.0637 -8.9001 2.3416" Properties=species:S:1:pos:R:3 pbc="T T T"
Sn 0.0000 0.0000 0.0000
Sn -1.5987 -6.2638 -1.4523
Ni -1.0286 -5.0963 -3.5416
Ni -0.5762 -7.7281 0.2400
Ni -2.6640 -8.3395 -0.6713
Ni -2.1258 -3.8915 -1.8364
Y 1.5792 -6.2771 -1.4161
Y 0.0221 -1.8204 -2.6050
```

As for the space-group type: I-42d (122). As for the final energy: -5.549 eV/atom.

---

Material: YNiSn
Method: DFT, PBE
State: optimized geometry

```
3
Lattice="3.3399 0.0000 0.0000 0.0000 3.3399 0.0000 -1.6700 -1.6700 5.5259" Properties=species:S:1:pos:R:3 pbc="T T T"
Sn 0.0000 0.0000 3.4527
Ni 1.6700 1.6700 4.8233
Y 1.6700 1.6700 1.1180
```

As for the space-group type: I4mm (107). As for the final energy: -5.795 eV/atom.

---

Material: Y2Ni15Sn2
Method: DFT, PBE
State: optimized geometry

```
19
Lattice="-2.4968 -3.6632 4.6501 -4.3444 -3.0632 -3.6082 3.4697 -5.2813 -1.1600" Properties=species:S:1:pos:R:3 pbc="T T T"
Ni -3.9067 -5.2309 0.4940
Ni 1.6524 -4.7885 0.6096
Ni -0.0601 -6.3228 1.6992
Ni -0.6795 -4.1561 2.8805
Ni -3.7817 -3.2459 -1.0929
Ni 0.5352 -6.7768 -0.6122
Ni -1.9644 -3.7388 -2.8626
Ni -2.4019 -5.9802 2.2480
Ni -3.3114 -5.6848 -1.8173
Ni -0.9696 -6.0275 -2.3662
Ni -3.0595 -3.4805 2.1348
Ni 1.0897 -4.6057 -1.9057
Ni 1.7348 -2.6406 -0.5800
Ni -1.2484 -1.8316 2.3250
Ni -2.1722 -1.5316 -1.8041
Sn -2.9987 -10.6800 -0.1051
Sn -0.3728 -1.3277 -0.0131
Y -2.1694 -7.7265 -0.0760
Y -1.2021 -4.2812 -0.0421
```

As for the space-group type: R-3m (166). As for the final energy: -5.853 eV/atom.

---

Material: YNiSn
Method: DFT, PBE
State: optimized geometry

```
18
Lattice="3.7615 0.0000 0.0000 0.0000 7.4317 0.0000 0.0000 0.0000 13.2752" Properties=species:S:1:pos:R:3 pbc="T T T"
Sn 1.8808 6.0423 3.3188
Sn 1.8808 3.1377 4.9557
Sn 1.8808 3.1377 1.6819
Sn 1.8808 1.3895 9.9564
Sn 1.8808 4.2941 8.3195
Sn 1.8808 4.2941 11.5933
Y 0.0000 6.3381 9.9564
Y 0.0000 5.7344 0.6228
Y 0.0000 1.0936 3.3188
Y 0.0000 1.6973 12.6524
Y 0.0000 1.6973 7.2604
Y 0.0000 5.7344 6.0148
Ni 0.0000 3.2781 9.9564
Ni 1.8808 6.9970 7.8354
Ni 1.8808 0.4347 5.4398
Ni 1.8808 6.9970 12.0774
Ni 1.8808 0.4347 1.1978
Ni 0.0000 4.1537 3.3188
```

As for the space-group type: Pmma (51). As for the final energy: -6.034 eV/atom.

---

Material: YZnNi4Sn2
Method: DFT, PBE
State: optimized geometry

```
8
Lattice="-3.2780 -1.3762 2.3907 -1.6803 -3.8787 -0.6979 3.6060 -4.9916 5.9097" Properties=species:S:1:pos:R:3 pbc="T T T"
Ni 0.8794 -6.0816 5.3824
Ni 1.5033 -3.6961 3.7723
Ni -2.8556 -6.5504 3.8302
Ni -2.2317 -4.1648 2.2201
Sn -1.1064 -7.6280 5.6082
Sn -0.2459 -2.6184 1.9943
Zn -0.6762 -5.1232 3.8012
Y 0.0000 0.0000 0.0000
```

As for the space-group type: R-3m (166). As for the final energy: -5.189 eV/atom.

---

Material: YZnNiSn2
Method: DFT, PBE
State: optimized geometry

```
5
Lattice="-0.0589 3.4697 -3.8002 -0.8895 -3.2600 -2.9626 -5.0441 0.7133 0.7295" Properties=species:S:1:pos:R:3 pbc="T T T"
Y -2.9963 0.4615 -3.0167
Ni -0.4447 -1.6300 -1.4813
Sn -0.0295 1.7349 -1.9001
Sn -2.5221 0.3567 0.3648
Zn 0.0000 0.0000 0.0000
```

As for the space-group type: P4/mmm (123). As for the final energy: -4.149 eV/atom.